a.
A plane-wave DFT calculation with PBE was carried out for an optimized crystal structure of Sc2FeAg2.

Calculated values
Crystal system: tetragonal

Cell lengths 3.639, 3.639, 8.132 Å; angles 77.07, 77.07, 90.00 degrees
Last column: magnetic moment on the atom in μB.
Positions (direct):
1 Sc 0.592 0.592 0.815  -0.33
2 Sc 0.408 0.408 0.185  -0.33
3 Ag 0.250 0.750 0.500  0.00
4 Ag 0.750 0.250 0.500  0.00
5 Fe 0.000 0.000 0.000  2.22


b.
A plane-wave DFT calculation with PBE was carried out for an optimized crystal structure of Sc2FeAg2.

Calculated values
Crystal system: tetragonal

Cell lengths 6.729, 6.729, 4.241 Å; angles 90.00, 90.00, 90.00 degrees
Positions (direct):
1 Ag 0.353 0.147 0.500
2 Ag 0.647 0.853 0.500
3 Ag 0.853 0.353 0.500
4 Ag 0.147 0.647 0.500
5 Fe 0.000 0.000 0.000
6 Fe 0.500 0.500 0.000
7 Sc 0.835 0.665 0.000
8 Sc 0.665 0.165 0.000
9 Sc 0.335 0.835 0.000
10 Sc 0.165 0.335 0.000


Energy ordering: a at the bottom, the next structure 20 meV per atom above.